# La2S2Br

A relaxed structure of La2S2Br (GGA-PBE, Alexandria).

The formation energy without anion corrections is -1.981 eV/atom.

The structure belongs to space group Immm (No. 71); the cell edges are 4.367, 5.712 and 13.271 Å and the angles 90.00°, 90.00° and 90.00°. The inequivalent atoms are La at (0.000, 0.000, 0.177), S at (0.000, 0.500, 0.187) and Br at (0.000, 0.500, 0.500).